Entry a
The following is a PBE calculation of an optimized crystal structure of Tb3PmAu4, from Alexandria via LeMat-Bulk.

Cell lengths 5.254, 5.649, 7.958 Å; angles 114.37, 109.27, 90.00 degrees
Fractional coordinates of all 8 atoms:
Tb (0.000, 0.500, 0.000)
Tb (0.181, 0.254, 0.361)
Tb (0.819, 0.746, 0.639)
Au (0.607, 0.609, 0.215)
Au (0.751, 0.176, 0.502)
Au (0.393, 0.391, 0.785)
Au (0.249, 0.824, 0.498)
Pm (0.500, 0.000, 0.000)

Values from the calculation:
The density of states at the Fermi level comes out at 6.002 states/eV per cell. Its space-group type is C2/m (12).

=====

Entry b
The following is a PBE calculation of an optimized crystal structure of Tb3PmAu4, from Alexandria via LeMat-Bulk.

Cell lengths 5.137, 5.137, 8.932 Å; angles 73.29, 73.29, 60.00 degrees
Fractional coordinates of all 8 atoms:
Tb (0.751, 0.751, 0.748)
Tb (0.249, 0.249, 0.252)
Tb (0.500, 0.500, 0.500)
Au (0.873, 0.873, 0.381)
Au (0.378, 0.378, 0.866)
Au (0.127, 0.127, 0.619)
Au (0.622, 0.622, 0.134)
Pm (0.000, 0.000, 0.000)

Values from the calculation:
The density of states at the Fermi level comes out at 4.278 states/eV per cell. Its space-group type is R-3m (166).

=====

Most favorable structure: entry b. The second most favorable one is 181 meV per atom above it.